[1]
Material: Ac5La4Pm4
Method: DFT, PBE
State: optimized geometry

Properties
Spin magnetization ... 0.000 μB per cell
Energy of formation from the pure elements ... 0.0342 eV/atom
Crystal system ... tetragonal

Structure (CIF):
```
data_Ac5La4Pm4
_chemical_formula_sum 'Ac10 La8 Pm8'
_space_group_name_H-M_alt 'I 4/m'
_space_group_IT_number 87
_space_group_name_Hall '-I 4'
_cell_length_a 13.772
_cell_length_b 13.772
_cell_length_c 5.370
_cell_angle_alpha 90.00
_cell_angle_beta 90.00
_cell_angle_gamma 90.00
loop_
_atom_site_label
_atom_site_type_symbol
_atom_site_fract_x
_atom_site_fract_y
_atom_site_fract_z
Ac1 Ac 0.000 0.000 0.000
Ac2 Ac 0.040 0.197 0.500
La1 La 0.075 0.387 0.000
Pm1 Pm 0.156 0.765 0.000
```

---

[2]
Material: SiPt2Pb
Method: DFT, PBE
State: optimized geometry

Properties
Formation energy without anion corrections ... -0.377 eV per atom
Spin magnetization ... 0.000 μB per cell
Crystal system ... monoclinic

Structure (CIF):
```
data_SiPt2Pb
_chemical_formula_sum 'Si1 Pt2 Pb1'
_space_group_name_H-M_alt 'P 1 m 1'
_space_group_IT_number 6
_space_group_name_Hall 'P -2y'
_cell_length_a 3.373
_cell_length_b 3.481
_cell_length_c 6.951
_cell_angle_alpha 90.00
_cell_angle_beta 103.99
_cell_angle_gamma 90.00
loop_
_atom_site_label
_atom_site_type_symbol
_atom_site_fract_x
_atom_site_fract_y
_atom_site_fract_z
Si1 Si 0.000 0.000 0.000
Pt1 Pt 0.459 0.500 0.917
Pt2 Pt 0.630 0.000 0.260
Pb1 Pb 0.250 0.500 0.505
```

---

[3]
Material: Mg2Pd2Au3
Method: DFT, PBE
State: optimized geometry

Properties
Spin magnetization ... 0.000 μB per cell
Energy of formation from the pure elements ... -0.3221 eV/atom
Crystal system ... monoclinic

Structure (CIF):
```
data_Mg2Pd2Au3
_chemical_formula_sum 'Mg2 Pd2 Au3'
_space_group_name_H-M_alt 'P 1 2/m 1'
_space_group_IT_number 10
_space_group_name_Hall '-P 2y'
_cell_length_a 4.166
_cell_length_b 2.883
_cell_length_c 10.587
_cell_angle_alpha 90.00
_cell_angle_beta 101.29
_cell_angle_gamma 90.00
loop_
_atom_site_label
_atom_site_type_symbol
_atom_site_fract_x
_atom_site_fract_y
_atom_site_fract_z
Mg1 Mg 0.127 0.000 0.256
Pd1 Pd 0.429 0.500 0.855
Au1 Au 0.000 0.000 0.000
Au2 Au 0.295 0.000 0.591
```